DFT (meta-GGA SCAN) results for a crystal of KDyS2 relaxed with PBEsol.

Summary:
As for the energy relative to the elements, uncorrected: -8.63 eV/f.u. Its space group is No. 166. As for the density: 4.42 Mg/m³.

Lattice parameters (Å, degrees): 3.9880 3.9880 7.6079 74.81 74.81 60.00
Closest atoms and distances in Å follow each position.
Fractional positions:
S 0.7344 0.7344 0.7968  3 Dy 2.73
K 0.5000 0.5000 0.5000  6 S 3.15
S 0.2656 0.2656 0.2032  3 Dy 2.73
Dy 0.0000 0.0000 0.0000  6 S 2.73

=====

DFT (meta-GGA SCAN) results for a crystal of LaDy relaxed with PBEsol.

Summary:
Its space group is No. 187. As for the density: 7.80 Mg/m³. The total energy comes out at -45.396 eV per atom.

Lattice parameters (Å, degrees): 3.5829 3.5829 5.7684 90.00 90.00 120.00
Closest atoms and distances in Å follow each position.
Fractional positions:
Dy 0.6667 0.3333 0.5000  6 La 3.55, 6 Dy 3.58
La 0.0000 0.0000 0.0000  6 Dy 3.55, 6 La 3.58

=====

DFT (meta-GGA SCAN) results for a crystal of LaDyRu2 relaxed with PBEsol.

Summary:
Its space group is No. 225. As for the density: 10.50 Mg/m³. The total energy comes out at -40.376 eV per atom.

Lattice parameters (Å, degrees): 4.8293 4.8293 4.8293 60.00 60.00 60.00
Closest atoms and distances in Å follow each position.
Fractional positions:
Ru 0.7500 0.7500 0.7500  4 La 2.96, 4 Dy 2.96
Ru 0.2500 0.2500 0.2500  4 La 2.96, 4 Dy 2.96
Dy 0.0000 0.0000 0.0000  8 Ru 2.96
La 0.5000 0.5000 0.5000  8 Ru 2.96

=====

DFT (meta-GGA SCAN) results for a crystal of La4Dy11S22 relaxed with PBEsol.

Summary:
As for the energy relative to the elements, uncorrected: -89.73 eV/f.u. Its space group is No. 12. As for the density: 5.87 Mg/m³.

Lattice parameters (Å, degrees): 3.9360 11.2925 19.5242 91.78 95.79 90.00
Closest atoms and distances in Å follow each position.
Fractional positions:
La 0.8955 0.9895 0.7909  8 S 2.91-3.04
S 0.1690 0.1490 0.3380  3 Dy 2.64-2.73, 1 La 2.91
S 0.6502 0.9063 0.3004  2 Dy 2.85, 3 La 2.92-2.96
S 0.4072 0.7895 0.8143  3 Dy 2.70-2.74
S 0.2543 0.1189 0.5087  4 Dy 2.64-2.81
Dy 0.5380 0.7306 0.0760  6 S 2.64-2.76
S 0.8109 0.3101 0.6218  3 Dy 2.75-2.86, 2 La 2.97
La 0.1045 0.0105 0.2091  8 S 2.91-3.04
Dy 0.2635 0.3514 0.5269  6 S 2.64-2.75
S 0.1891 0.6899 0.3782  3 Dy 2.75-2.86, 2 La 2.97
S 0.1363 0.4512 0.2725  3 Dy 2.71-2.77, 2 La 2.99
Dy 0.9291 0.6405 0.8583  6 S 2.65-2.74
S 0.3498 0.0937 0.6996  2 Dy 2.85, 3 La 2.92-2.96
S 0.8637 0.5488 0.7275  3 Dy 2.71-2.77, 2 La 2.99
Dy 0.4620 0.2694 0.9240  6 S 2.64-2.76
S 0.5589 0.5101 0.1178  3 Dy 2.64-2.65
S 0.8310 0.8510 0.6620  3 Dy 2.64-2.73, 1 La 2.91
S 0.9916 0.7601 0.9831  4 Dy 2.70-2.74
S 0.0084 0.2399 0.0169  4 Dy 2.70-2.74
La 0.3674 0.3504 0.7349  8 S 2.91-3.22
Dy 0.7975 0.0599 0.5950  7 S 2.68-2.86
Dy 0.7365 0.6486 0.4731  6 S 2.64-2.75
S 0.5470 0.9703 0.0940  3 Dy 2.71-2.72, 2 La 3.00
Dy 0.3418 0.7010 0.6836  6 S 2.64-2.77
S 0.9126 0.2462 0.8252  2 Dy 2.76, 3 La 2.91-2.96
S 0.7199 0.4111 0.4398  4 Dy 2.68-2.74
Dy 0.0000 0.0000 0.0000  6 S 2.71-2.72
S 0.7457 0.8811 0.4913  4 Dy 2.64-2.81
S 0.4530 0.0297 0.9060  3 Dy 2.71-2.72, 2 La 3.00
Dy 0.0709 0.3595 0.1417  6 S 2.65-2.74
Dy 0.2025 0.9401 0.4050  7 S 2.68-2.86
Dy 0.6582 0.2990 0.3164  6 S 2.64-2.77
S 0.0874 0.7538 0.1748  2 Dy 2.76, 3 La 2.91-2.96
S 0.2801 0.5889 0.5602  4 Dy 2.68-2.74
La 0.6326 0.6496 0.2651  8 S 2.91-3.22
S 0.4411 0.4899 0.8822  3 Dy 2.64-2.65
S 0.5928 0.2105 0.1857  3 Dy 2.70-2.74

=====

DFT (meta-GGA SCAN) results for a crystal of LiDyO2 relaxed with PBEsol.

Summary:
As for the energy relative to the elements, uncorrected: -12.88 eV/f.u. Its space group is No. 62. As for the density: 6.86 Mg/m³.

Lattice parameters (Å, degrees): 3.3478 5.2528 11.0851 90.00 90.00 90.00
Closest atoms and distances in Å follow each position.
Fractional positions:
Dy 0.2500 0.4522 0.8601  6 O 2.19-2.38
O 0.7500 0.2585 0.9745  3 Li 1.93-2.15
O 0.7500 0.6893 0.7936  1 Li 1.90
Li 0.7500 0.5968 0.4319  2 O 1.90-1.93
Li 0.7500 0.9032 0.9319  2 O 1.90-1.93
O 0.7500 0.2415 0.4745  3 Li 1.93-2.15
O 0.7500 0.8107 0.2936  1 Li 1.90
Li 0.2500 0.4032 0.5681  2 O 1.90-1.93
O 0.2500 0.1893 0.7064  1 Li 1.90
O 0.2500 0.7585 0.5255  3 Li 1.93-2.15
Dy 0.7500 0.9522 0.6399  6 O 2.19-2.38
O 0.2500 0.3107 0.2064  1 Li 1.90
Dy 0.7500 0.5478 0.1399  6 O 2.19-2.38
Li 0.2500 0.0968 0.0681  2 O 1.90-1.93
Dy 0.2500 0.0478 0.3601  6 O 2.19-2.38
O 0.2500 0.7415 0.0255  3 Li 1.93-2.15

=====

DFT (meta-GGA SCAN) results for a crystal of LiDyO2 relaxed with PBEsol.

Summary:
As for the energy relative to the elements, uncorrected: -12.83 eV/f.u. Its space group is No. 14. As for the density: 6.56 Mg/m³.

Lattice parameters (Å, degrees): 6.0848 6.1576 6.2506 60.50 90.00 90.00
Closest atoms and distances in Å follow each position.
Fractional positions:
O 0.6745 0.6630 0.3500  1 Li 1.89
Li 0.3440 0.7737 0.9323  3 O 1.89-1.99
O 0.8915 0.3115 0.2355  2 Li 1.97-1.99
Li 0.1560 0.2737 0.4323  3 O 1.89-1.99
O 0.6085 0.8115 0.7355  2 Li 1.97-1.99
Dy 0.6311 0.2443 0.5232  6 O 2.19-2.33
Li 0.6560 0.2263 0.0677  3 O 1.89-1.99
O 0.8255 0.1630 0.8500  1 Li 1.89
Li 0.8440 0.7263 0.5677  3 O 1.89-1.99
Dy 0.3689 0.7557 0.4768  6 O 2.19-2.33
O 0.3255 0.3370 0.6500  1 Li 1.89
Dy 0.8689 0.7443 0.0232  6 O 2.19-2.33
Dy 0.1311 0.2557 0.9768  6 O 2.19-2.33
O 0.1745 0.8370 0.1500  1 Li 1.89
O 0.3915 0.1885 0.2645  2 Li 1.97-1.99
O 0.1085 0.6885 0.7645  2 Li 1.97-1.99

=====

DFT (meta-GGA SCAN) results for a crystal of Li3Dy3Te2O12 relaxed with PBEsol.

Summary:
As for the energy relative to the elements, uncorrected: -52.01 eV/f.u. Its space group is No. 230. As for the density: 6.91 Mg/m³.

Lattice parameters (Å, degrees): 10.6042 10.6042 10.6042 109.47 109.47 109.47
Closest atoms and distances in Å follow each position.
Fractional positions:
Li 0.7500 0.6250 0.8750  4 O 1.87
O 0.3793 0.4719 0.7992  1 Li 1.87, 1 Te 1.94
O 0.6728 0.7008 0.5802  1 Li 1.87, 1 Te 1.94
O 0.5281 0.8272 0.9074  1 Li 1.87, 1 Te 1.94
Te 0.5000 0.5000 0.5000  6 O 1.94
O 0.2008 0.1728 0.0802  1 Li 1.87, 1 Te 1.94
O 0.1728 0.5926 0.9719  1 Li 1.87, 1 Te 1.94
Li 0.1250 0.2500 0.3750  4 O 1.87
O 0.3793 0.9074 0.0802  1 Li 1.87, 1 Te 1.94
O 0.8793 0.0802 0.9074  1 Li 1.87, 1 Te 1.94
O 0.2992 0.9198 0.8272  1 Li 1.87, 1 Te 1.94
O 0.9074 0.5802 0.8793  1 Li 1.87, 1 Te 1.94
Li 0.7500 0.1250 0.3750  4 O 1.87
O 0.5926 0.1207 0.4198  1 Li 1.87, 1 Te 1.94
O 0.4074 0.8793 0.5802  1 Li 1.87, 1 Te 1.94
O 0.1728 0.5802 0.7008  1 Li 1.87, 1 Te 1.94
O 0.4074 0.5281 0.3272  1 Li 1.87, 1 Te 1.94
O 0.9198 0.5926 0.6207  1 Li 1.87, 1 Te 1.94
O 0.5926 0.4719 0.6728  1 Li 1.87, 1 Te 1.94
O 0.5281 0.7008 0.1207  1 Li 1.87, 1 Te 1.94
Dy 0.1250 0.7500 0.8750  8 O 2.34-2.43
Dy 0.8750 0.2500 0.1250  8 O 2.34-2.43
Li 0.8750 0.1250 0.7500  4 O 1.87
Li 0.3750 0.7500 0.1250  4 O 1.87
Li 0.8750 0.7500 0.6250  4 O 1.87
Dy 0.8750 0.6250 0.2500  8 O 2.34-2.43
O 0.9074 0.3272 0.5281  1 Li 1.87, 1 Te 1.94
O 0.7008 0.6207 0.0281  1 Li 1.87, 1 Te 1.94
O 0.9719 0.8793 0.2992  1 Li 1.87, 1 Te 1.94
O 0.9198 0.3272 0.7992  1 Li 1.87, 1 Te 1.94
Te 0.0000 0.5000 0.5000  6 O 1.94
O 0.0802 0.6728 0.2008  1 Li 1.87, 1 Te 1.94
O 0.7992 0.9719 0.3793  1 Li 1.87, 1 Te 1.94
Dy 0.3750 0.1250 0.2500  8 O 2.34-2.43
O 0.3272 0.0281 0.4074  1 Li 1.87, 1 Te 1.94
O 0.0802 0.4074 0.3793  1 Li 1.87, 1 Te 1.94
O 0.0281 0.9074 0.8272  1 Li 1.87, 1 Te 1.94
O 0.9719 0.0926 0.1728  1 Li 1.87, 1 Te 1.94
O 0.0926 0.4198 0.1207  1 Li 1.87, 1 Te 1.94
Te 0.5000 0.5000 0.0000  6 O 1.94
Dy 0.7500 0.8750 0.1250  8 O 2.34-2.43
Li 0.6250 0.3750 0.2500  4 O 1.87
O 0.8272 0.4074 0.0281  1 Li 1.87, 1 Te 1.94
O 0.7008 0.0802 0.1728  1 Li 1.87, 1 Te 1.94
Dy 0.6250 0.7500 0.3750  8 O 2.34-2.43
O 0.4719 0.2992 0.8793  1 Li 1.87, 1 Te 1.94
O 0.1207 0.2008 0.5281  1 Li 1.87, 1 Te 1.94
O 0.7992 0.8272 0.9198  1 Li 1.87, 1 Te 1.94
O 0.6207 0.5281 0.2008  1 Li 1.87, 1 Te 1.94
Te 0.5000 0.0000 0.0000  6 O 1.94
Dy 0.3750 0.2500 0.6250  8 O 2.34-2.43
O 0.5802 0.2008 0.6728  1 Li 1.87, 1 Te 1.94
Li 0.3750 0.6250 0.7500  4 O 1.87
Li 0.2500 0.8750 0.6250  4 O 1.87
O 0.4719 0.1728 0.0926  1 Li 1.87, 1 Te 1.94
Te 0.0000 0.5000 0.0000  6 O 1.94
O 0.0926 0.6728 0.4719  1 Li 1.87, 1 Te 1.94
Li 0.1250 0.8750 0.2500  4 O 1.87
Te 0.0000 0.0000 0.5000  6 O 1.94
O 0.0281 0.1207 0.7008  1 Li 1.87, 1 Te 1.94
O 0.1207 0.9198 0.0926  1 Li 1.87, 1 Te 1.94
Te 0.0000 0.0000 0.0000  6 O 1.94
Dy 0.2500 0.1250 0.8750  8 O 2.34-2.43
Li 0.2500 0.3750 0.1250  4 O 1.87
O 0.8272 0.4198 0.2992  1 Li 1.87, 1 Te 1.94
O 0.4198 0.7992 0.3272  1 Li 1.87, 1 Te 1.94
O 0.2992 0.3793 0.9719  1 Li 1.87, 1 Te 1.94
O 0.3272 0.2992 0.4198  1 Li 1.87, 1 Te 1.94
O 0.6207 0.0926 0.9198  1 Li 1.87, 1 Te 1.94
Dy 0.6250 0.8750 0.7500  8 O 2.34-2.43
O 0.4198 0.6207 0.5926  1 Li 1.87, 1 Te 1.94
Li 0.6250 0.2500 0.8750  4 O 1.87
Dy 0.2500 0.6250 0.3750  8 O 2.34-2.43
O 0.2008 0.0281 0.6207  1 Li 1.87, 1 Te 1.94
Dy 0.7500 0.3750 0.6250  8 O 2.34-2.43
O 0.8793 0.7992 0.4719  1 Li 1.87, 1 Te 1.94
O 0.6728 0.9719 0.5926  1 Li 1.87, 1 Te 1.94
Dy 0.1250 0.3750 0.7500  8 O 2.34-2.43
O 0.5802 0.3793 0.4074  1 Li 1.87, 1 Te 1.94
Te 0.5000 0.0000 0.5000  6 O 1.94

=====

DFT (meta-GGA SCAN) results for a crystal of LiDy2Pt relaxed with PBEsol.

Summary:
Its space group is No. 225. As for the density: 10.52 Mg/m³. The total energy comes out at -42.867 eV per atom.

Lattice parameters (Å, degrees): 4.9004 4.9004 4.9004 60.00 60.00 60.00
Closest atoms and distances in Å follow each position.
Fractional positions:
Dy 0.7500 0.7500 0.7500  4 Pt 3.00, 4 Li 3.00
Dy 0.2500 0.2500 0.2500  4 Li 3.00, 4 Pt 3.00
Pt 0.5000 0.5000 0.5000  8 Dy 3.00
Li 0.0000 0.0000 0.0000  8 Dy 3.00

=====

DFT (meta-GGA SCAN) results for a crystal of LiDy2Ru relaxed with PBEsol.

Summary:
Its space group is No. 225. As for the density: 9.04 Mg/m³. The total energy comes out at -33.553 eV per atom.

Lattice parameters (Å, degrees): 4.8267 4.8267 4.8267 60.00 60.00 60.00
Closest atoms and distances in Å follow each position.
Fractional positions:
Dy 0.2500 0.2500 0.2500  4 Li 2.96, 4 Ru 2.96
Li 0.5000 0.5000 0.5000  8 Dy 2.96
Ru 0.0000 0.0000 0.0000  8 Dy 2.96
Dy 0.7500 0.7500 0.7500  4 Li 2.96, 4 Ru 2.96

=====

DFT (meta-GGA SCAN) results for a crystal of LiDyS2 relaxed with PBEsol.

Summary:
As for the energy relative to the elements, uncorrected: -8.36 eV/f.u. Its space group is No. 141. As for the density: 4.90 Mg/m³.

Lattice parameters (Å, degrees): 5.3752 5.3752 6.6701 113.76 113.76 90.00
Closest atoms and distances in Å follow each position.
Fractional positions:
Li 0.0000 0.0000 0.0000  6 S 2.69-2.79
Dy 0.5000 0.5000 0.0000  6 S 2.69-2.70
Dy 0.7500 0.2500 0.5000  6 S 2.69-2.70
Li 0.2500 0.7500 0.5000  6 S 2.69-2.79
S 0.9958 0.4958 0.9917  3 Dy 2.69-2.70, 3 Li 2.69-2.79
S 0.5042 0.0042 0.0083  3 Dy 2.69-2.70, 3 Li 2.69-2.79
S 0.2542 0.2542 0.5083  3 Dy 2.69-2.70, 3 Li 2.69-2.79
S 0.7458 0.7458 0.4917  3 Dy 2.69-2.70, 3 Li 2.69-2.79

=====

Which of these has the lowest density?
KDyS2

=====

Look up the density of the sixth one.
6.56 Mg/m³